1.
First-principles (GGA-PBE) data for a geometry-optimized BaLuBeAu structure, as listed in OQMD.

Lattice parameters (Å, degrees): 5.2688 5.2688 5.2688 60.00 60.00 60.00
Atoms (fractional coordinates):
Au  0.7500  0.7500  0.7500
Ba  0.0000  0.0000  0.0000
Be  0.2500  0.2500  0.2500
Lu  0.5000  0.5000  0.5000

---

2.
First-principles (GGA-PBE) data for a geometry-optimized NaSnHg3S4 structure, as listed in OQMD.

Lattice parameters (Å, degrees): 6.4466 6.4466 6.4466 90.00 90.00 90.00
Atoms (fractional coordinates):
Hg  0.5000  0.5000  0.0000
Hg  0.5000  0.0000  0.5000
Hg  0.0000  0.5000  0.5000
Na  0.0000  0.0000  0.0000
S  0.2529  0.2529  0.2529
S  0.7471  0.7471  0.2529
S  0.7471  0.2529  0.7471
S  0.2529  0.7471  0.7471
Sn  0.5000  0.5000  0.5000

---

Q: Which ΔE to the lowest computed polymorph values were calculated for the entries above? A: 0; 114, in meV per atom.
Q: Which theoretical density values were calculated for the entries above? A: 8.32; 5.40, in Mg/m³.